Entry 1:
VASP calculation (GGA-PBE) on crystalline ReBTe2Pb at its relaxed geometry.

N(E_F)   4.49 states/eV/f.u.
Raw formation energy   83.8 kJ per mole of atoms

```
data_ReBTe2Pb
_space_group_name_H-M_alt 'P 1'
_space_group_IT_number 1
_cell_length_a 5.193
_cell_length_b 5.193
_cell_length_c 4.151
_cell_angle_alpha 90.00
_cell_angle_beta 90.00
_cell_angle_gamma 90.00
loop_
_space_group_symop_operation_xyz
'x,y,z'
loop_
_atom_site_label
_atom_site_fract_x
_atom_site_fract_y
_atom_site_fract_z
Re1 0.000 0.000 0.000
B1 0.000 0.000 0.500
Te1 0.000 0.500 0.500
Te2 0.500 0.000 0.500
Pb1 0.500 0.500 0.000
```

=====

Entry 2:
VASP calculation (GGA-PBE) on crystalline Re2BPbW at its relaxed geometry.

N(E_F)   5.30 states/eV/f.u.
Formation energy   1893.8 meV per atom

```
data_Re2BPbW
_space_group_name_H-M_alt 'P 1'
_space_group_IT_number 1
_cell_length_a 4.881
_cell_length_b 4.881
_cell_length_c 4.178
_cell_angle_alpha 90.00
_cell_angle_beta 90.00
_cell_angle_gamma 90.00
loop_
_space_group_symop_operation_xyz
'x,y,z'
loop_
_atom_site_label
_atom_site_fract_x
_atom_site_fract_y
_atom_site_fract_z
Re1 0.000 0.500 0.000
Re2 0.500 0.000 0.000
B1 0.000 0.000 0.500
Pb1 0.500 0.500 0.500
W1 0.000 0.000 0.000
```

=====

Entry 3:
VASP calculation (GGA-PBE) on crystalline BRh2Pb at its relaxed geometry.

N(E_F)   1.69 states/eV/f.u.
Formation energy   -93.5 meV per atom

```
data_BRh2Pb
_space_group_name_H-M_alt 'P 1'
_space_group_IT_number 1
_cell_length_a 5.491
_cell_length_b 5.491
_cell_length_c 5.491
_cell_angle_alpha 105.35
_cell_angle_beta 105.35
_cell_angle_gamma 118.08
loop_
_space_group_symop_operation_xyz
'x,y,z'
loop_
_atom_site_label
_atom_site_fract_x
_atom_site_fract_y
_atom_site_fract_z
B1 0.000 0.000 0.000
B2 0.750 0.250 0.500
Rh1 0.021 0.625 0.896
Rh2 0.375 0.271 0.396
Rh3 0.729 0.125 0.104
Rh4 0.875 0.979 0.604
Pb1 0.250 0.750 0.500
Pb2 0.500 0.500 0.000
```

=====

Entry 4:
VASP calculation (GGA-PBE) on crystalline BRh2Pb at its relaxed geometry.

N(E_F)   2.76 states/eV/f.u.
Formation energy   -175.9 meV per atom

```
data_BRh2Pb
_space_group_name_H-M_alt 'P 1'
_space_group_IT_number 1
_cell_length_a 6.791
_cell_length_b 6.791
_cell_length_c 6.791
_cell_angle_alpha 28.19
_cell_angle_beta 28.19
_cell_angle_gamma 28.19
loop_
_space_group_symop_operation_xyz
'x,y,z'
loop_
_atom_site_label
_atom_site_fract_x
_atom_site_fract_y
_atom_site_fract_z
B1 0.000 0.000 0.000
Rh1 0.281 0.281 0.281
Rh2 0.719 0.719 0.719
Pb1 0.500 0.500 0.500
```

=====

Entry 5:
VASP calculation (GGA-PBE) on crystalline BRh2Pb at its relaxed geometry.

N(E_F)   4.33 states/eV/f.u.
Formation energy   629.7 meV per atom

```
data_BRh2Pb
_space_group_name_H-M_alt 'P 1'
_space_group_IT_number 1
_cell_length_a 4.397
_cell_length_b 4.397
_cell_length_c 4.397
_cell_angle_alpha 60.00
_cell_angle_beta 60.00
_cell_angle_gamma 60.00
loop_
_space_group_symop_operation_xyz
'x,y,z'
loop_
_atom_site_label
_atom_site_fract_x
_atom_site_fract_y
_atom_site_fract_z
B1 0.000 0.000 0.000
Rh1 0.250 0.250 0.250
Rh2 0.750 0.750 0.750
Pb1 0.500 0.500 0.500
```

=====

Entry 6:
VASP calculation (GGA-PBE) on crystalline B3RhPb at its relaxed geometry.

N(E_F)   2.16 states/eV/f.u.
Formation energy   2816.9 meV per atom

```
data_B3RhPb
_space_group_name_H-M_alt 'P 1'
_space_group_IT_number 1
_cell_length_a 4.497
_cell_length_b 4.497
_cell_length_c 4.497
_cell_angle_alpha 90.00
_cell_angle_beta 90.00
_cell_angle_gamma 90.00
loop_
_space_group_symop_operation_xyz
'x,y,z'
loop_
_atom_site_label
_atom_site_fract_x
_atom_site_fract_y
_atom_site_fract_z
B1 0.000 0.000 0.500
B2 0.000 0.500 0.000
B3 0.500 0.000 0.000
Rh1 0.500 0.500 0.500
Pb1 0.000 0.000 0.000
```

=====

Entry 7:
VASP calculation (GGA-PBE) on crystalline B3RhPb at its relaxed geometry.

N(E_F)   2.86 states/eV/f.u.
Formation energy   1059.9 meV per atom

```
data_B3RhPb
_space_group_name_H-M_alt 'P 1'
_space_group_IT_number 1
_cell_length_a 4.201
_cell_length_b 4.201
_cell_length_c 4.201
_cell_angle_alpha 90.00
_cell_angle_beta 90.00
_cell_angle_gamma 90.00
loop_
_space_group_symop_operation_xyz
'x,y,z'
loop_
_atom_site_label
_atom_site_fract_x
_atom_site_fract_y
_atom_site_fract_z
B1 0.000 0.000 0.500
B2 0.000 0.500 0.000
B3 0.500 0.000 0.000
Rh1 0.000 0.000 0.000
Pb1 0.500 0.500 0.500
```

=====

Entry 8:
VASP calculation (GGA-PBE) on crystalline B2RhPb at its relaxed geometry.

N(E_F)   1.59 states/eV/f.u.
Formation energy   629.2 meV per atom

```
data_B2RhPb
_space_group_name_H-M_alt 'P 1'
_space_group_IT_number 1
_cell_length_a 6.209
_cell_length_b 6.209
_cell_length_c 6.209
_cell_angle_alpha 129.52
_cell_angle_beta 129.52
_cell_angle_gamma 74.17
loop_
_space_group_symop_operation_xyz
'x,y,z'
loop_
_atom_site_label
_atom_site_fract_x
_atom_site_fract_y
_atom_site_fract_z
B1 0.034 0.625 0.909
B2 0.375 0.284 0.409
B3 0.716 0.125 0.091
B4 0.875 0.966 0.591
Rh1 0.000 0.000 0.000
Rh2 0.750 0.250 0.500
Pb1 0.250 0.750 0.500
Pb2 0.500 0.500 0.000
```

=====

Entry 9:
VASP calculation (GGA-PBE) on crystalline BRhPb3 at its relaxed geometry.

N(E_F)   3.58 states/eV/f.u.
Formation energy   919.3 meV per atom

```
data_BRhPb3
_space_group_name_H-M_alt 'P 1'
_space_group_IT_number 1
_cell_length_a 4.909
_cell_length_b 4.909
_cell_length_c 4.909
_cell_angle_alpha 90.00
_cell_angle_beta 90.00
_cell_angle_gamma 90.00
loop_
_space_group_symop_operation_xyz
'x,y,z'
loop_
_atom_site_label
_atom_site_fract_x
_atom_site_fract_y
_atom_site_fract_z
B1 0.000 0.000 0.000
Rh1 0.500 0.500 0.500
Pb1 0.000 0.000 0.500
Pb2 0.000 0.500 0.000
Pb3 0.500 0.000 0.000
```

=====

Entry 10:
VASP calculation (GGA-PBE) on crystalline BRhPb at its relaxed geometry.

N(E_F)   0.70 states/eV/f.u.
Formation energy   -25.3 meV per atom

```
data_BRhPb
_space_group_name_H-M_alt 'P 1'
_space_group_IT_number 1
_cell_length_a 3.906
_cell_length_b 3.885
_cell_length_c 7.572
_cell_angle_alpha 90.00
_cell_angle_beta 91.42
_cell_angle_gamma 90.00
loop_
_space_group_symop_operation_xyz
'x,y,z'
loop_
_atom_site_label
_atom_site_fract_x
_atom_site_fract_y
_atom_site_fract_z
B1 0.245 0.250 0.392
B2 0.755 0.750 0.608
Rh1 0.251 0.750 0.501
Rh2 0.749 0.250 0.499
Pb1 0.249 0.250 0.829
Pb2 0.751 0.750 0.171
```

=====

Entry 11:
VASP calculation (GGA-PBE) on crystalline B6Rh12Pb at its relaxed geometry.

N(E_F)   19.22 states/eV/f.u.
Formation energy   -190.7 meV per atom

```
data_B6Rh12Pb
_space_group_name_H-M_alt 'P 1'
_space_group_IT_number 1
_cell_length_a 6.529
_cell_length_b 6.529
_cell_length_c 6.529
_cell_angle_alpha 104.48
_cell_angle_beta 104.48
_cell_angle_gamma 104.48
loop_
_space_group_symop_operation_xyz
'x,y,z'
loop_
_atom_site_label
_atom_site_fract_x
_atom_site_fract_y
_atom_site_fract_z
B1 0.236 0.236 0.670
B2 0.236 0.670 0.236
B3 0.330 0.764 0.764
B4 0.670 0.236 0.236
B5 0.764 0.330 0.764
B6 0.764 0.764 0.330
Rh1 0.133 0.500 0.867
Rh2 0.133 0.867 0.500
Rh3 0.186 0.452 0.452
Rh4 0.452 0.186 0.452
Rh5 0.452 0.452 0.186
Rh6 0.500 0.133 0.867
Rh7 0.500 0.867 0.133
Rh8 0.548 0.548 0.814
Rh9 0.548 0.814 0.548
Rh10 0.814 0.548 0.548
Rh11 0.867 0.133 0.500
Rh12 0.867 0.500 0.133
Pb1 0.000 0.000 0.000
```

=====

Entry 12:
VASP calculation (GGA-PBE) on crystalline BRhPb3 at its relaxed geometry.

N(E_F)   3.30 states/eV/f.u.
Formation energy   1001.5 meV per atom

```
data_BRhPb3
_space_group_name_H-M_alt 'P 1'
_space_group_IT_number 1
_cell_length_a 5.259
_cell_length_b 5.259
_cell_length_c 5.259
_cell_angle_alpha 90.00
_cell_angle_beta 90.00
_cell_angle_gamma 90.00
loop_
_space_group_symop_operation_xyz
'x,y,z'
loop_
_atom_site_label
_atom_site_fract_x
_atom_site_fract_y
_atom_site_fract_z
B1 0.000 0.000 0.000
Rh1 0.500 0.500 0.500
Pb1 0.000 0.500 0.500
Pb2 0.500 0.000 0.500
Pb3 0.500 0.500 0.000
```

=====

Entry 13:
VASP calculation (GGA-PBE) on crystalline BRh2Pb at its relaxed geometry.

N(E_F)   2.07 states/eV/f.u.
Formation energy   -114.7 meV per atom

```
data_BRh2Pb
_space_group_name_H-M_alt 'P 1'
_space_group_IT_number 1
_cell_length_a 3.344
_cell_length_b 4.679
_cell_length_c 9.477
_cell_angle_alpha 78.51
_cell_angle_beta 89.15
_cell_angle_gamma 89.97
loop_
_space_group_symop_operation_xyz
'x,y,z'
loop_
_atom_site_label
_atom_site_fract_x
_atom_site_fract_y
_atom_site_fract_z
B1 0.000 0.000 0.000
B2 0.500 0.500 0.000
Rh1 0.005 0.696 0.871
Rh2 0.494 0.806 0.133
Rh3 0.506 0.194 0.867
Rh4 0.995 0.304 0.129
Pb1 0.484 0.296 0.366
Pb2 0.516 0.704 0.634
```

=====

Entry 14:
VASP calculation (GGA-PBE) on crystalline BRh3Pb2 at its relaxed geometry.

N(E_F)   4.38 states/eV/f.u.
Formation energy   -122.5 meV per atom

```
data_BRh3Pb2
_space_group_name_H-M_alt 'P 1'
_space_group_IT_number 1
_cell_length_a 5.727
_cell_length_b 5.727
_cell_length_c 7.619
_cell_angle_alpha 97.11
_cell_angle_beta 97.11
_cell_angle_gamma 119.94
loop_
_space_group_symop_operation_xyz
'x,y,z'
loop_
_atom_site_label
_atom_site_fract_x
_atom_site_fract_y
_atom_site_fract_z
B1 0.168 0.832 0.000
B2 0.832 0.168 0.000
Rh1 0.004 0.440 0.819
Rh2 0.119 0.119 0.181
Rh3 0.440 0.004 0.819
Rh4 0.560 0.996 0.181
Rh5 0.881 0.881 0.819
Rh6 0.996 0.560 0.181
Pb1 0.000 0.000 0.500
Pb2 0.340 0.660 0.500
Pb3 0.500 0.500 0.000
Pb4 0.660 0.340 0.500
```

=====

Entry 15:
VASP calculation (GGA-PBE) on crystalline B4Rh8Pb at its relaxed geometry.

N(E_F)   11.25 states/eV/f.u.
Formation energy   -57.1 meV per atom

```
data_B4Rh8Pb
_space_group_name_H-M_alt 'P 1'
_space_group_IT_number 1
_cell_length_a 5.619
_cell_length_b 5.619
_cell_length_c 8.104
_cell_angle_alpha 115.57
_cell_angle_beta 115.57
_cell_angle_gamma 59.32
loop_
_space_group_symop_operation_xyz
'x,y,z'
loop_
_atom_site_label
_atom_site_fract_x
_atom_site_fract_y
_atom_site_fract_z
B1 0.196 0.804 0.000
B2 0.222 0.222 0.988
B3 0.778 0.778 0.012
B4 0.804 0.196 0.000
Rh1 0.004 0.501 0.800
Rh2 0.013 0.013 0.231
Rh3 0.479 0.479 0.159
Rh4 0.499 0.996 0.200
Rh5 0.501 0.004 0.800
Rh6 0.521 0.521 0.841
Rh7 0.987 0.987 0.769
Rh8 0.996 0.499 0.200
Pb1 0.500 0.500 0.500
```

=====

Entry 16:
VASP calculation (GGA-PBE) on crystalline BRuRh2Pb at its relaxed geometry.

N(E_F)   3.63 states/eV/f.u.
Formation energy   -81.1 meV per atom

```
data_BRuRh2Pb
_space_group_name_H-M_alt 'P 1'
_space_group_IT_number 1
_cell_length_a 4.182
_cell_length_b 4.182
_cell_length_c 4.211
_cell_angle_alpha 90.00
_cell_angle_beta 90.00
_cell_angle_gamma 90.00
loop_
_space_group_symop_operation_xyz
'x,y,z'
loop_
_atom_site_label
_atom_site_fract_x
_atom_site_fract_y
_atom_site_fract_z
B1 0.000 0.000 0.000
Ru1 0.000 0.000 0.500
Rh1 0.000 0.500 0.000
Rh2 0.500 0.000 0.000
Pb1 0.500 0.500 0.500
```

=====

Entry 17:
VASP calculation (GGA-PBE) on crystalline Sc2B2Rh5Pb at its relaxed geometry.

N(E_F)   2.77 states/eV/f.u.
Formation energy   -712.9 meV per atom

```
data_Sc2B2Rh5Pb
_space_group_name_H-M_alt 'P 1'
_space_group_IT_number 1
_cell_length_a 9.455
_cell_length_b 9.455
_cell_length_c 3.239
_cell_angle_alpha 90.00
_cell_angle_beta 90.00
_cell_angle_gamma 90.00
loop_
_space_group_symop_operation_xyz
'x,y,z'
loop_
_atom_site_label
_atom_site_fract_x
_atom_site_fract_y
_atom_site_fract_z
Sc1 0.174 0.326 0.000
Sc2 0.326 0.826 0.000
Sc3 0.674 0.174 0.000
Sc4 0.826 0.674 0.000
B1 0.122 0.622 0.000
B2 0.378 0.122 0.000
B3 0.622 0.878 0.000
B4 0.878 0.378 0.000
Rh1 0.000 0.500 0.500
Rh2 0.072 0.774 0.500
Rh3 0.226 0.072 0.500
Rh4 0.274 0.572 0.500
Rh5 0.428 0.274 0.500
Rh6 0.500 0.000 0.500
Rh7 0.572 0.726 0.500
Rh8 0.726 0.428 0.500
Rh9 0.774 0.928 0.500
Rh10 0.928 0.226 0.500
Pb1 0.000 0.000 0.000
Pb2 0.500 0.500 0.000
```

=====

Entry 18:
VASP calculation (GGA-PBE) on crystalline Sm4B3Rh12Pb at its relaxed geometry.

N(E_F)   16.97 states/eV/f.u.
Formation energy   -473.3 meV per atom

```
data_Sm4B3Rh12Pb
_space_group_name_H-M_alt 'P 1'
_space_group_IT_number 1
_cell_length_a 7.644
_cell_length_b 7.644
_cell_length_c 7.644
_cell_angle_alpha 109.47
_cell_angle_beta 109.47
_cell_angle_gamma 109.47
loop_
_space_group_symop_operation_xyz
'x,y,z'
loop_
_atom_site_label
_atom_site_fract_x
_atom_site_fract_y
_atom_site_fract_z
Sm1 0.000 0.000 0.500
Sm2 0.000 0.500 0.000
Sm3 0.500 0.000 0.000
Sm4 0.500 0.500 0.500
B1 0.000 0.500 0.500
B2 0.500 0.000 0.500
B3 0.500 0.500 0.000
Rh1 0.000 0.283 0.283
Rh2 0.000 0.717 0.717
Rh3 0.250 0.500 0.750
Rh4 0.250 0.750 0.500
Rh5 0.283 0.000 0.283
Rh6 0.283 0.283 0.000
Rh7 0.500 0.250 0.750
Rh8 0.500 0.750 0.250
Rh9 0.717 0.000 0.717
Rh10 0.717 0.717 0.000
Rh11 0.750 0.250 0.500
Rh12 0.750 0.500 0.250
Pb1 0.000 0.000 0.000
```

=====

Entry 19:
VASP calculation (GGA-PBE) on crystalline Tb2B2Rh5Pb at its relaxed geometry.

N(E_F)   3.09 states/eV/f.u.
Formation energy   -705.6 meV per atom

```
data_Tb2B2Rh5Pb
_space_group_name_H-M_alt 'P 1'
_space_group_IT_number 1
_cell_length_a 9.672
_cell_length_b 9.672
_cell_length_c 3.313
_cell_angle_alpha 90.00
_cell_angle_beta 90.00
_cell_angle_gamma 90.00
loop_
_space_group_symop_operation_xyz
'x,y,z'
loop_
_atom_site_label
_atom_site_fract_x
_atom_site_fract_y
_atom_site_fract_z
Tb1 0.176 0.324 0.000
Tb2 0.324 0.824 0.000
Tb3 0.676 0.176 0.000
Tb4 0.824 0.676 0.000
B1 0.121 0.621 0.000
B2 0.379 0.121 0.000
B3 0.621 0.879 0.000
B4 0.879 0.379 0.000
Rh1 0.000 0.500 0.500
Rh2 0.071 0.771 0.500
Rh3 0.229 0.071 0.500
Rh4 0.271 0.571 0.500
Rh5 0.429 0.271 0.500
Rh6 0.500 0.000 0.500
Rh7 0.571 0.729 0.500
Rh8 0.729 0.429 0.500
Rh9 0.771 0.929 0.500
Rh10 0.929 0.229 0.500
Pb1 0.000 0.000 0.000
Pb2 0.500 0.500 0.000
```

=====

Entry 20:
VASP calculation (GGA-PBE) on crystalline Th4B3Rh12Pb at its relaxed geometry.

N(E_F)   6.84 states/eV/f.u.
Formation energy   -612.8 meV per atom

```
data_Th4B3Rh12Pb
_space_group_name_H-M_alt 'P 1'
_space_group_IT_number 1
_cell_length_a 7.678
_cell_length_b 7.678
_cell_length_c 7.678
_cell_angle_alpha 109.47
_cell_angle_beta 109.47
_cell_angle_gamma 109.47
loop_
_space_group_symop_operation_xyz
'x,y,z'
loop_
_atom_site_label
_atom_site_fract_x
_atom_site_fract_y
_atom_site_fract_z
Th1 0.000 0.000 0.500
Th2 0.000 0.500 0.000
Th3 0.500 0.000 0.000
Th4 0.500 0.500 0.500
B1 0.000 0.500 0.500
B2 0.500 0.000 0.500
B3 0.500 0.500 0.000
Rh1 0.000 0.284 0.284
Rh2 0.000 0.716 0.716
Rh3 0.250 0.500 0.750
Rh4 0.250 0.750 0.500
Rh5 0.284 0.000 0.284
Rh6 0.284 0.284 0.000
Rh7 0.500 0.250 0.750
Rh8 0.500 0.750 0.250
Rh9 0.716 0.000 0.716
Rh10 0.716 0.716 0.000
Rh11 0.750 0.250 0.500
Rh12 0.750 0.500 0.250
Pb1 0.000 0.000 0.000
```

=====

no.,calculated total energy (eV per formula unit)
1,-24.774
2,-38.766
3,-25.463
4,-25.792
5,-22.570
6,-17.007
7,-25.793
8,-21.898
9,-20.557
10,-17.813
11,-135.614
12,-20.146
13,-25.547
14,-36.884
15,-89.972
16,-34.770
17,-73.613
18,-140.300
19,-70.137
20,-153.893